Density functional theory data (SCAN) for a PBEsol-optimized structure of MnSi2Au. Values from VASP.

```
&SYSTEM
  ibrav = 0, nat = 4, ntyp = 3
/
ATOMIC_SPECIES
Mn 54.94 Mn.upf
Si 28.09 Si.upf
Au 196.97 Au.upf
CELL_PARAMETERS angstrom
3.1917 0.0000 0.0000
0.0000 3.1917 0.0000
0.0000 0.0000 5.2384
ATOMIC_POSITIONS crystal
Mn 0.0000 0.0000 0.0000
Si 0.0000 0.0000 0.4334
Si 0.5000 0.5000 0.1511
Au 0.5000 0.5000 0.6549
```

The density is 9.59 g/cm3. The energy relative to the lowest polymorph listed for this composition comes out at 0 meV/atom. For the density of states at the Fermi level, the calculation gives 0.4510 states/eV/atom. The value obtained for the total magnetic moment is 0.4574 μB per atom.

---

Density functional theory data (SCAN) for a PBEsol-optimized structure of Sc2HgS2. Values from VASP.

```
&SYSTEM
  ibrav = 0, nat = 5, ntyp = 3
/
ATOMIC_SPECIES
Sc 44.96 Sc.upf
Hg 200.59 Hg.upf
S 32.06 S.upf
CELL_PARAMETERS angstrom
-2.1983 2.1983 5.7312
2.1983 -2.1983 5.7312
2.1983 2.1983 -5.7312
ATOMIC_POSITIONS crystal
Sc 0.1445 0.1445 0.0000
Sc 0.8555 0.8555 0.0000
Hg 0.5000 0.5000 0.0000
S 0.2500 0.7500 0.5000
S 0.7500 0.2500 0.5000
```

The density is 5.32 g/cm3. For the density of states at the Fermi level, the calculation gives 0.3356 states/eV/atom. The value obtained for the total magnetic moment is 0.0133 μB per atom. The value obtained for the electronic total energy is -122.24 eV per cell.

---

Density functional theory data (SCAN) for a PBEsol-optimized structure of Li2CuNi. Values from VASP.

```
&SYSTEM
  ibrav = 0, nat = 4, ntyp = 3
/
ATOMIC_SPECIES
Li 6.94 Li.upf
Cu 63.55 Cu.upf
Ni 58.69 Ni.upf
CELL_PARAMETERS angstrom
2.4527 0.0000 0.0000
0.0000 2.4527 0.0000
0.0000 0.0000 7.6943
ATOMIC_POSITIONS crystal
Li 0.0000 0.0000 0.2414
Li 0.0000 0.0000 0.7586
Cu 0.5000 0.5000 0.5000
Ni 0.5000 0.5000 0.0000
```

As for the energy of formation: 0.059 eV/atom. The density is 4.88 g/cm3. The energy relative to the lowest polymorph listed for this composition comes out at 51 meV/atom. For the density of states at the Fermi level, the calculation gives 0.5083 states/eV/atom. The value obtained for the total magnetic moment is 0.1562 μB per atom.

---

Density functional theory data (SCAN) for a PBEsol-optimized structure of CrRu2. Values from VASP.

```
&SYSTEM
  ibrav = 0, nat = 3, ntyp = 2
/
ATOMIC_SPECIES
Cr 52.00 Cr.upf
Ru 101.07 Ru.upf
CELL_PARAMETERS angstrom
3.9572 0.0000 0.0000
0.0000 3.9572 0.0000
0.0000 0.0000 2.7902
ATOMIC_POSITIONS crystal
Cr 0.0000 0.0000 0.0000
Ru 0.0000 0.5000 0.5000
Ru 0.5000 0.0000 0.5000
```

As for the energy of formation: 0.789 eV/atom. The density is 9.66 g/cm3. For the density of states at the Fermi level, the calculation gives 1.3057 states/eV/atom. The value obtained for the total magnetic moment is 0.0006 μB per atom.

---

Density functional theory data (SCAN) for a PBEsol-optimized structure of RbInBP2HO9. Values from VASP.

```
&SYSTEM
  ibrav = 0, nat = 30, ntyp = 6
/
ATOMIC_SPECIES
Rb 85.47 Rb.upf
In 114.82 In.upf
B 10.81 B.upf
P 30.97 P.upf
H 1.01 H.upf
O 16.00 O.upf
CELL_PARAMETERS angstrom
5.3428 0.0000 0.0000
1.4375 8.2539 0.0000
0.4299 0.1987 8.4622
ATOMIC_POSITIONS crystal
Rb 0.2222 0.1182 0.3285
Rb 0.7778 0.8818 0.6715
In 0.2153 0.2109 0.8120
In 0.7847 0.7891 0.1880
B 0.3926 0.5666 0.7261
B 0.6074 0.4334 0.2739
P 0.2844 0.8093 0.9382
P 0.3098 0.6965 0.4184
P 0.6902 0.3035 0.5816
P 0.7156 0.1907 0.0618
H 0.1118 0.5386 0.8870
H 0.8882 0.4614 0.1130
O 0.0446 0.7330 0.9869
O 0.0620 0.7932 0.3609
O 0.2078 0.9573 0.8282
O 0.2179 0.4693 0.8073
O 0.2531 0.6625 0.5976
O 0.3724 0.5316 0.3328
O 0.4278 0.8474 0.0785
O 0.4673 0.2098 0.6007
O 0.4672 0.6775 0.8388
O 0.5328 0.3225 0.1612
O 0.5327 0.7902 0.3993
O 0.5722 0.1526 0.9215
O 0.6276 0.4684 0.6672
O 0.7469 0.3375 0.4024
O 0.7821 0.5307 0.1927
O 0.7922 0.0427 0.1718
O 0.9380 0.2068 0.6391
O 0.9554 0.2670 0.0131
```

The density is 3.72 g/cm3. For the density of states at the Fermi level, the calculation gives 0.0000 states/eV/atom. The value obtained for the total magnetic moment is 0.0000 μB per atom. The value obtained for the electronic total energy is -353.95 eV per cell.

---

Density functional theory data (SCAN) for a PBEsol-optimized structure of LiRe3W. Values from VASP.

```
&SYSTEM
  ibrav = 0, nat = 5, ntyp = 3
/
ATOMIC_SPECIES
Li 6.94 Li.upf
Re 186.21 Re.upf
W 183.84 W.upf
CELL_PARAMETERS angstrom
4.7235 0.0000 0.0000
0.0000 4.7235 0.0000
0.0000 0.0000 4.7235
ATOMIC_POSITIONS crystal
Li 0.0000 0.0000 0.0000
Re 0.0000 0.5000 0.5000
Re 0.5000 0.0000 0.5000
Re 0.5000 0.5000 0.0000
W 0.5000 0.5000 0.5000
```

As for the energy of formation: 2.130 eV/atom. The density is 11.81 g/cm3. For the density of states at the Fermi level, the calculation gives 0.6229 states/eV/atom. The value obtained for the total magnetic moment is 0.4765 μB per atom.

---

Density functional theory data (SCAN) for a PBEsol-optimized structure of LiCuP2O6. Values from VASP.

```
&SYSTEM
  ibrav = 0, nat = 20, ntyp = 4
/
ATOMIC_SPECIES
Li 6.94 Li.upf
Cu 63.55 Cu.upf
P 30.97 P.upf
O 16.00 O.upf
CELL_PARAMETERS angstrom
5.1667 -5.3001 0.0000
5.1667 5.3001 0.0000
-1.7383 0.0000 4.3813
ATOMIC_POSITIONS crystal
Li 0.2280 0.7720 0.7500
Li 0.7720 0.2280 0.2500
Cu 0.0953 0.9047 0.2500
Cu 0.9047 0.0953 0.7500
P 0.2002 0.3727 0.2559
P 0.3727 0.2002 0.7559
P 0.6273 0.7998 0.2441
P 0.7998 0.6273 0.7441
O 0.0238 0.2353 0.1477
O 0.1837 0.5718 0.3983
O 0.2353 0.0238 0.6477
O 0.2905 0.3612 0.9782
O 0.3612 0.2905 0.4782
O 0.4282 0.8163 0.1017
O 0.5718 0.1837 0.8983
O 0.6388 0.7095 0.5218
O 0.7095 0.6388 0.0218
O 0.7647 0.9762 0.3523
O 0.8163 0.4282 0.6017
O 0.9762 0.7647 0.8523
```

The density is 3.16 g/cm3. The energy relative to the lowest polymorph listed for this composition comes out at 0 meV/atom. For the density of states at the Fermi level, the calculation gives 0.0000 states/eV/atom. The value obtained for the total magnetic moment is 0.0000 μB per atom.

---

Density functional theory data (SCAN) for a PBEsol-optimized structure of RbRhS2. Values from VASP.

```
&SYSTEM
  ibrav = 0, nat = 8, ntyp = 3
/
ATOMIC_SPECIES
Rb 85.47 Rb.upf
Rh 102.91 Rh.upf
S 32.06 S.upf
CELL_PARAMETERS angstrom
-3.5890 3.5890 3.7337
3.5890 -3.5890 3.7337
3.5890 3.5890 -3.7337
ATOMIC_POSITIONS crystal
Rb 0.0000 0.0000 0.0000
Rb 0.7500 0.2500 0.5000
Rh 0.2500 0.7500 0.5000
Rh 0.5000 0.5000 0.0000
S 0.2453 0.1250 0.6203
S 0.3750 0.7547 0.8797
S 0.5047 0.6250 0.3797
S 0.8750 0.4953 0.1203
```

The density is 4.36 g/cm3. For the density of states at the Fermi level, the calculation gives 0.2038 states/eV/atom. The value obtained for the total magnetic moment is 0.0000 μB per atom. The value obtained for the electronic total energy is -153.69 eV per cell.

---

Density functional theory data (SCAN) for a PBEsol-optimized structure of Li3MnAl2O6. Values from VASP.

```
&SYSTEM
  ibrav = 0, nat = 24, ntyp = 4
/
ATOMIC_SPECIES
Li 6.94 Li.upf
Mn 54.94 Mn.upf
Al 26.98 Al.upf
O 16.00 O.upf
CELL_PARAMETERS angstrom
5.2162 0.0000 0.0000
0.0670 5.8182 0.0000
1.3970 0.0429 7.5980
ATOMIC_POSITIONS crystal
Li 0.0024 0.1613 0.2564
Li 0.1638 0.6644 0.4174
Li 0.3288 0.8453 0.0978
Li 0.6712 0.1547 0.9022
Li 0.8362 0.3356 0.5826
Li 0.9976 0.8387 0.7436
Mn 0.4958 0.3278 0.2399
Mn 0.5042 0.6722 0.7601
Al 0.1608 0.3248 0.9177
Al 0.3295 0.1675 0.5853
Al 0.6705 0.8325 0.4147
Al 0.8392 0.6752 0.0823
O 0.0255 0.1770 0.7527
O 0.1706 0.6409 0.9214
O 0.1990 0.3206 0.4149
O 0.3225 0.1828 0.0737
O 0.3460 0.8520 0.5793
O 0.4760 0.3316 0.7418
O 0.5240 0.6684 0.2582
O 0.6540 0.1480 0.4207
O 0.6775 0.8172 0.9263
O 0.8010 0.6794 0.5851
O 0.8294 0.3591 0.0786
O 0.9745 0.8230 0.2473
```

The density is 3.25 g/cm3. For the density of states at the Fermi level, the calculation gives 0.0000 states/eV/atom. The value obtained for the total magnetic moment is 0.3333 μB per atom. The value obtained for the electronic total energy is -221.85 eV per cell.

---

Density functional theory data (SCAN) for a PBEsol-optimized structure of TcPbW. Values from VASP.

```
&SYSTEM
  ibrav = 0, nat = 3, ntyp = 3
/
ATOMIC_SPECIES
Tc 98.00 Tc.upf
Pb 207.20 Pb.upf
W 183.84 W.upf
CELL_PARAMETERS angstrom
3.1014 0.0000 0.0000
-1.5507 2.6859 0.0000
0.0000 0.0000 6.8226
ATOMIC_POSITIONS crystal
Tc 0.0000 0.0000 0.0000
Pb 0.6667 0.3333 0.3717
W 0.3333 0.6667 0.7508
```

As for the energy of formation: 0.637 eV/atom. The density is 14.29 g/cm3. The energy relative to the lowest polymorph listed for this composition comes out at 0 meV/atom. For the density of states at the Fermi level, the calculation gives 1.0150 states/eV/atom. The value obtained for the total magnetic moment is 0.0000 μB per atom.

---

Density functional theory data (SCAN) for a PBEsol-optimized structure of Cu2ReRu. Values from VASP.

```
&SYSTEM
  ibrav = 0, nat = 4, ntyp = 3
/
ATOMIC_SPECIES
Cu 63.55 Cu.upf
Re 186.21 Re.upf
Ru 101.07 Ru.upf
CELL_PARAMETERS angstrom
4.3863 -1.3189 0.0000
4.3863 1.3189 0.0000
-0.7769 0.0000 4.4603
ATOMIC_POSITIONS crystal
Cu 0.2498 0.2498 0.2504
Cu 0.7502 0.7502 0.7496
Re 0.0000 0.0000 0.5000
Ru 0.5000 0.5000 0.0000
```

As for the energy of formation: 0.289 eV/atom. The density is 13.33 g/cm3. The energy relative to the lowest polymorph listed for this composition comes out at 166 meV/atom. For the density of states at the Fermi level, the calculation gives 0.7625 states/eV/atom. The value obtained for the total magnetic moment is 0.1388 μB per atom.

---

Density functional theory data (SCAN) for a PBEsol-optimized structure of Hf2MgNbP. Values from VASP.

```
&SYSTEM
  ibrav = 0, nat = 5, ntyp = 4
/
ATOMIC_SPECIES
Hf 178.49 Hf.upf
Mg 24.30 Mg.upf
Nb 92.91 Nb.upf
P 30.97 P.upf
CELL_PARAMETERS angstrom
4.8548 0.0000 0.0000
0.0000 4.8548 0.0000
0.0000 0.0000 4.6363
ATOMIC_POSITIONS crystal
Hf 0.0000 0.5000 0.0000
Hf 0.5000 0.0000 0.0000
Mg 0.0000 0.0000 0.0000
Nb 0.0000 0.0000 0.5000
P 0.5000 0.5000 0.5000
```

As for the energy of formation: 1.497 eV/atom. The density is 7.68 g/cm3. For the density of states at the Fermi level, the calculation gives 0.8560 states/eV/atom. The value obtained for the total magnetic moment is 0.0001 μB per atom.

---

Look up the density of states at the Fermi level of the fifth one.
0.0000 states/eV/atom

---

density of states at the Fermi level of number 1 (MnSi2Au)?
0.4510 states/eV/atom

---

density of states at the Fermi level of number 10 (TcPbW)?
1.0150 states/eV/atom

---

Number 10 is which compound?
TcPbW